Density functional theory data (GGA-PBE) for an optimized crystal structure of LaCePm6.

abc: 5.155 5.155 10.307
angles: 90.00 90.00 90.00
Fractional positions:
1 La 0.000 0.000 0.000
2 Ce 0.000 0.000 0.500
3 Pm 0.000 0.500 0.256
4 Pm 0.000 0.500 0.744
5 Pm 0.500 0.000 0.256
6 Pm 0.500 0.000 0.744
7 Pm 0.500 0.500 0.000
8 Pm 0.500 0.500 0.500

Properties
**Crystal system**: tetragonal
**DFT formation energy**: 0.4 eV per formula unit

---

Density functional theory data (GGA-PBE) for an optimized crystal structure of LaCePm.

abc: 8.054 8.054 8.054
angles: 154.38 154.38 36.55
Fractional positions:
1 La 0.000 0.000 0.000
2 Ce 0.345 0.345 0.000
3 Pm 0.688 0.688 0.000

Properties
**E above lowest polymorph**: 0 meV/atom
**Crystal system**: tetragonal
**DFT formation energy**: 0.2 eV per formula unit

---

Density functional theory data (GGA-PBE) for an optimized crystal structure of La6CePm.

abc: 6.600 6.974 7.016
angles: 60.22 89.03 88.02
Fractional positions:
1 La 0.231 0.451 0.499
2 La 0.254 0.455 0.945
3 La 0.254 0.901 0.053
4 La 0.746 0.099 0.947
5 La 0.746 0.545 0.055
6 La 0.769 0.549 0.501
7 Ce 0.000 0.000 0.500
8 Pm 0.500 0.000 0.500

Properties
**E above lowest polymorph**: 117 meV/atom
**Crystal system**: triclinic
**DFT formation energy**: 1.2 eV per formula unit

---

What are the D(E_F) values for these records? In order: 1.90; 1.58; 1.92 states/eV per atom.